DFT (PBE) results for crystalline KNaZnCd2 at its relaxed geometry.

Calculated density = 3.8 Mg/m³
Energy of formation = 0.0329 eV/atom
Magnetic moment = 0.000 μB per atom
VASP energy = -1.0713 eV/atom

a = 5.2096 Å, b = 5.2096 Å, c = 5.7075 Å
α = 90.00°, β = 90.00°, γ = 90.00°
Last column: nearest neighbours and their distance in Å.
Fractional positions:
Na: 0.0000 0.0000 0.5000  2 Zn 2.85
Zn: 0.0000 0.0000 0.0000  4 Cd 2.60, 2 Na 2.85
K: 0.5000 0.5000 0.5000  4 Na 3.68, 8 Cd 3.86
Cd: 0.0000 0.5000 0.0000  2 Zn 2.60
Cd: 0.5000 0.0000 0.0000  2 Zn 2.60

DFT (PBE) results for crystalline KNa2ZnCd at its relaxed geometry.

Calculated density = 2.4 Mg/m³
Energy of formation = 0.0820 eV/atom
Magnetic moment = 0.000 μB per atom
ΔE to the lowest computed polymorph = 33 meV per atom
VASP energy = -1.1030 eV/atom

a = 5.9955 Å, b = 5.9955 Å, c = 5.1281 Å
α = 90.00°, β = 90.00°, γ = 90.00°
Last column: nearest neighbours and their distance in Å.
Fractional positions:
Na: 0.0000 0.5000 0.0000  2 Cd 3.00
Na: 0.5000 0.0000 0.0000  2 Cd 3.00
Zn: 0.0000 0.0000 0.5000  2 Cd 2.56
K: 0.5000 0.5000 0.5000  8 Na 3.94, 4 Zn 4.24
Cd: 0.0000 0.0000 0.0000  2 Zn 2.56

DFT (PBE) results for crystalline KNaZnCd at its relaxed geometry.

Calculated density = 3.5 Mg/m³
Energy of formation = 0.0809 eV/atom
Magnetic moment = 0.000 μB per atom
VASP energy = -1.0705 eV/atom

a = 5.4581 Å, b = 5.4581 Å, c = 5.4581 Å
α = 60.00°, β = 60.00°, γ = 60.00°
Last column: nearest neighbours and their distance in Å.
Fractional positions:
Na: 0.5000 0.5000 0.5000  4 Cd 3.34, 4 K 3.34
Zn: 0.0000 0.0000 0.0000  4 K 3.34, 4 Cd 3.34
K: 0.2500 0.2500 0.2500  4 Na 3.34, 4 Zn 3.34
Cd: 0.7500 0.7500 0.7500  4 Na 3.34, 4 Zn 3.34

DFT (PBE) results for crystalline KNa2ZnCd at its relaxed geometry.

Calculated density = 2.5 Mg/m³
Energy of formation = 0.0485 eV/atom
Magnetic moment = 0.000 μB per atom
ΔE to the lowest computed polymorph = 0 meV per atom
VASP energy = -1.1364 eV/atom

a = 5.8418 Å, b = 5.8418 Å, c = 5.1544 Å
α = 90.00°, β = 90.00°, γ = 90.00°
Last column: nearest neighbours and their distance in Å.
Fractional positions:
Na: 0.0000 0.5000 0.0000  2 Zn 2.92
Na: 0.5000 0.0000 0.0000  2 Zn 2.92
Zn: 0.0000 0.0000 0.0000  2 Cd 2.58
K: 0.5000 0.5000 0.5000  8 Na 3.90, 4 Cd 4.13
Cd: 0.0000 0.0000 0.5000  2 Zn 2.58

DFT (PBE) results for crystalline K2NaZnCd at its relaxed geometry.

Calculated density = 2.1 Mg/m³
Energy of formation = 0.1038 eV/atom
Magnetic moment = 0.000 μB per atom
ΔE to the lowest computed polymorph = 0 meV per atom
VASP energy = -1.0368 eV/atom

a = 6.6119 Å, b = 6.6119 Å, c = 5.1170 Å
α = 90.00°, β = 90.00°, γ = 90.00°
Last column: nearest neighbours and their distance in Å.
Fractional positions:
Na: 0.5000 0.5000 0.5000  8 K 4.18, 4 Cd 4.68
Zn: 0.0000 0.0000 0.0000  2 Cd 2.56
K: 0.0000 0.5000 0.0000  2 Zn 3.31
K: 0.5000 0.0000 0.0000  2 Zn 3.31
Cd: 0.0000 0.0000 0.5000  2 Zn 2.56

DFT (PBE) results for crystalline K2NbCd at its relaxed geometry.

Calculated density = 3.2 Mg/m³
Energy of formation = 1.0912 eV/atom
Magnetic moment = 1.129 μB per atom
VASP energy = -2.2038 eV/atom

a = 9.7617 Å, b = 9.7617 Å, c = 7.5815 Å
α = 49.93°, β = 49.93°, γ = 90.00°
Last column: nearest neighbours and their distance in Å.
Fractional positions:
Nb: 0.5000 0.5000 0.0000  2 Cd 3.14
Nb: 0.2500 0.7500 0.5000  2 Cd 3.14
K: 0.6472 0.1250 0.2500  2 K 3.17, 2 Cd 3.39
K: 0.1028 0.6250 0.2500  2 K 3.17, 2 Cd 3.39
K: 0.3750 0.3528 0.7500  2 K 3.17, 2 Cd 3.39
K: 0.8750 0.8972 0.7500  2 K 3.17, 2 Cd 3.39
Cd: 0.0000 0.0000 0.0000  2 Nb 3.14, 4 K 3.39
Cd: 0.7500 0.2500 0.5000  2 Nb 3.14, 4 K 3.39

DFT (PBE) results for crystalline KNbCd2 at its relaxed geometry.

Calculated density = 3.9 Mg/m³
Energy of formation = 0.9239 eV/atom
Magnetic moment = 0.977 μB per atom
ΔE to the lowest computed polymorph = 182 meV per atom
VASP energy = -2.3255 eV/atom

a = 5.4747 Å, b = 5.4747 Å, c = 10.8957 Å
α = 75.45°, β = 75.45°, γ = 90.00°
Last column: nearest neighbours and their distance in Å.
Fractional positions:
Nb: 0.0000 0.0000 0.0000  4 Cd 2.92
Nb: 0.7500 0.2500 0.5000  4 Cd 2.92
K: 0.5000 0.5000 0.0000  4 Cd 3.72, 4 Nb 3.87
K: 0.2500 0.7500 0.5000  4 Cd 3.72, 4 Nb 3.87
Cd: 0.8015 0.1250 0.2500  2 Cd 2.85, 2 Nb 2.92
Cd: 0.9485 0.6250 0.2500  2 Cd 2.85, 2 Nb 2.92
Cd: 0.3750 0.1985 0.7500  2 Cd 2.85, 2 Nb 2.92
Cd: 0.8750 0.0515 0.7500  2 Cd 2.85, 2 Nb 2.92

DFT (PBE) results for crystalline KNbCd3 at its relaxed geometry.

Calculated density = 4.4 Mg/m³
Energy of formation = 0.5691 eV/atom
Magnetic moment = 0.664 μB per atom
ΔE to the lowest computed polymorph = 0 meV per atom
VASP energy = -2.2135 eV/atom

a = 5.6261 Å, b = 5.6261 Å, c = 5.6261 Å
α = 90.00°, β = 90.00°, γ = 90.00°
Last column: nearest neighbours and their distance in Å.
Fractional positions:
Nb: 0.0000 0.0000 0.0000  6 Cd 2.81
K: 0.5000 0.5000 0.5000  12 Cd 3.98
Cd: 0.0000 0.5000 0.0000  2 Nb 2.81
Cd: 0.0000 0.0000 0.5000  2 Nb 2.81
Cd: 0.5000 0.0000 0.0000  2 Nb 2.81

DFT (PBE) results for crystalline KNbCd3 at its relaxed geometry.

Calculated density = 4.0 Mg/m³
Energy of formation = 1.5254 eV/atom
Magnetic moment = 0.893 μB per atom
ΔE to the lowest computed polymorph = 956 meV per atom
VASP energy = -1.2571 eV/atom

a = 5.7984 Å, b = 5.7984 Å, c = 5.7984 Å
α = 90.00°, β = 90.00°, γ = 90.00°
Last column: nearest neighbours and their distance in Å.
Fractional positions:
Nb: 0.5000 0.5000 0.5000  12 Cd 4.10
K: 0.0000 0.0000 0.0000  6 Cd 2.90
Cd: 0.0000 0.5000 0.0000  2 K 2.90
Cd: 0.0000 0.0000 0.5000  2 K 2.90
Cd: 0.5000 0.0000 0.0000  2 K 2.90

DFT (PBE) results for crystalline KNbCd2 at its relaxed geometry.

Calculated density = 5.8 Mg/m³
Energy of formation = 0.7418 eV/atom
Magnetic moment = 0.615 μB per atom
ΔE to the lowest computed polymorph = 0 meV per atom
VASP energy = -2.5076 eV/atom

a = 5.2549 Å, b = 5.2549 Å, c = 5.2549 Å
α = 60.00°, β = 60.00°, γ = 60.00°
Last column: nearest neighbours and their distance in Å.
Fractional positions:
Nb: 0.5000 0.5000 0.5000  8 Cd 3.22
K: 0.0000 0.0000 0.0000  8 Cd 3.22
Cd: 0.2500 0.2500 0.2500  4 Nb 3.22, 4 K 3.22
Cd: 0.7500 0.7500 0.7500  4 Nb 3.22, 4 K 3.22

DFT (PBE) results for crystalline KNb2Cd2O7 at its relaxed geometry.

Calculated density = 4.7 Mg/m³
Magnetic moment = 0.000 μB per atom
Raw formation energy = -1.97 eV/atom
VASP energy = -6.7849 eV/atom

a = 3.8954 Å, b = 5.6756 Å, c = 9.5712 Å
α = 107.25°, β = 101.74°, γ = 90.00°
Last column: nearest neighbours and their distance in Å.
Fractional positions:
K: 0.0000 0.0943 0.0000  8 O 2.81-2.99
Nb: 0.3957 0.4665 0.7914  4 O 1.84-1.99
Nb: 0.6043 0.6751 0.2086  4 O 1.84-1.99
Cd: 0.2733 0.8291 0.5466  4 O 2.29-2.36
Cd: 0.7267 0.2825 0.4534  4 O 2.29-2.36
O: 0.3953 0.7899 0.7906  1 Nb 1.84
O: 0.7140 0.6711 0.4280  1 Nb 2.06, 3 Cd 2.29
O: 0.1072 0.6059 0.2145  2 Nb 1.99
O: 0.6047 0.9993 0.2094  1 Nb 1.84
O: 0.2860 0.2431 0.5720  1 Nb 2.06, 3 Cd 2.29
O: 0.8928 0.3914 0.7855  2 Nb 1.99
O: 0.5000 0.4514 0.0000  2 Nb 1.98

DFT (PBE) results for crystalline KNbCdO4 at its relaxed geometry.

Calculated density = 3.8 Mg/m³
Magnetic moment = 0.000 μB per atom
Raw formation energy = -1.92 eV/atom
VASP energy = -6.4801 eV/atom

a = 6.1912 Å, b = 6.3150 Å, c = 7.1260 Å
α = 90.00°, β = 105.10°, γ = 90.00°
Last column: nearest neighbours and their distance in Å.
Fractional positions:
K: 0.7460 0.7500 0.9549  2 O 2.58-2.64
K: 0.2540 0.2500 0.0451  2 O 2.58-2.64
Nb: 0.3073 0.7500 0.3671  4 O 1.81-1.92
Nb: 0.6927 0.2500 0.6329  4 O 1.81-1.92
Cd: 0.8485 0.7500 0.4698  3 O 2.25-2.26
Cd: 0.1515 0.2500 0.5302  3 O 2.25-2.26
O: 0.9034 0.4805 0.6852  1 Nb 1.92
O: 0.0966 0.9805 0.3148  1 Nb 1.92
O: 0.0966 0.5195 0.3148  1 Nb 1.92
O: 0.9034 0.0195 0.6852  1 Nb 1.92
O: 0.5303 0.7500 0.2288  1 Nb 1.89
O: 0.4697 0.2500 0.7712  1 Nb 1.89
O: 0.4505 0.7500 0.6235  1 Nb 1.81
O: 0.5495 0.2500 0.3765  1 Nb 1.81